## a
DFT (PBE) results for crystalline LiMg14Cr at its relaxed geometry.

Lattice parameters (Å, degrees): 6.2913 6.2913 10.2963 90.00 90.00 120.00
Space group P-6m2 (No. 187)
Asymmetric unit:
Li  0.0000  0.0000  0.0000
Mg  0.0019  0.5009  0.0000
Mg  0.1637  0.3274  0.2536
Mg  0.5004  0.0008  0.5000
Mg  0.6667  0.3333  0.2475
Cr  0.0000  0.0000  0.5000

Calculated values
Magnetic moment ... 0.285 μB/atom

## b
DFT (PBE) results for crystalline LiMg14Cr at its relaxed geometry.

Lattice parameters (Å, degrees): 10.3066 6.3123 10.8673 90.00 90.00 90.00
Space group Amm2 (No. 38)
Asymmetric unit:
Li  0.0000  0.0000  0.0000
Mg  0.0000  0.2505  0.2520
Mg  0.2400  0.2486  0.5810
Mg  0.2442  0.0000  0.3352
Mg  0.2483  0.0000  0.8338
Mg  0.5000  0.0000  0.0012
Mg  0.5000  0.0000  0.5010
Mg  0.5000  0.2494  0.2499
Cr  0.0000  0.0000  0.5003

Calculated values
Magnetic moment ... 0.286 μB/atom

Bottom line: a, by a margin of 6 meV/atom.